The following is a DFT calculation (PBE) of crystalline BeHgSe2 at its relaxed geometry.

Structure (CIF):
```
data_BeHgSe2
_chemical_formula_sum 'Be1 Hg1 Se2'
_cell_length_a 3.9909
_cell_length_b 3.9909
_cell_length_c 6.4990
_cell_angle_alpha 90.00
_cell_angle_beta 90.00
_cell_angle_gamma 120.00
_symmetry_space_group_name_H-M 'P 1'
_symmetry_Int_Tables_number 1
_symmetry_space_group_name_Hall 'P 1'
loop_
_atom_site_label
_atom_site_fract_x
_atom_site_fract_y
_atom_site_fract_z
Hg1 0.0000 0.0000 0.9590
Se1 0.3333 0.6667 0.7603
Be1 0.3333 0.6667 0.4211
Se2 0.6667 0.3333 0.3146
```

Output
Magnetic moment = 0.00 μB/f.u.
Calculated total energy = -2.9769 eV per atom
E_form (uncorrected) = -0.2277 eV/atom

The following is a DFT calculation (PBE) of crystalline BeHgSe2 at its relaxed geometry.

Structure (CIF):
```
data_BeHgSe2
_chemical_formula_sum 'Be1 Hg1 Se2'
_cell_length_a 4.8374
_cell_length_b 4.8374
_cell_length_c 4.0547
_cell_angle_alpha 90.00
_cell_angle_beta 90.00
_cell_angle_gamma 115.26
_symmetry_space_group_name_H-M 'P 1'
_symmetry_Int_Tables_number 1
_symmetry_space_group_name_Hall 'P 1'
loop_
_atom_site_label
_atom_site_fract_x
_atom_site_fract_y
_atom_site_fract_z
Hg1 0.0000 0.5000 0.5000
Se1 0.5000 0.5000 0.0000
Se2 0.0000 0.0000 0.0000
Be1 0.5000 0.0000 0.5000
```

Output
Magnetic moment = 0.00 μB/f.u.
Calculated total energy = -2.2347 eV per atom
E_form (uncorrected) = 0.5146 eV/atom

The following is a DFT calculation (PBE) of crystalline Be2HgSe at its relaxed geometry.

Structure (CIF):
```
data_Be2HgSe
_chemical_formula_sum 'Be2 Hg1 Se1'
_cell_length_a 4.6399
_cell_length_b 4.6399
_cell_length_c 4.6399
_cell_angle_alpha 60.00
_cell_angle_beta 60.00
_cell_angle_gamma 60.00
_symmetry_space_group_name_H-M 'P 1'
_symmetry_Int_Tables_number 1
_symmetry_space_group_name_Hall 'P 1'
loop_
_atom_site_label
_atom_site_fract_x
_atom_site_fract_y
_atom_site_fract_z
Se1 0.2500 0.2500 0.2500
Hg1 0.5000 0.5000 0.5000
Be1 0.0000 0.0000 0.0000
Be2 0.7500 0.7500 0.7500
```

Output
Magnetic moment = 0.00 μB/f.u.
Calculated total energy = -1.8641 eV per atom
E_form (uncorrected) = 0.9456 eV/atom

The following is a DFT calculation (PBE) of crystalline Be2HgSe at its relaxed geometry.

Structure (CIF):
```
data_Be2HgSe
_chemical_formula_sum 'Be2 Hg1 Se1'
_cell_length_a 3.3442
_cell_length_b 4.1426
_cell_length_c 5.2869
_cell_angle_alpha 89.95
_cell_angle_beta 90.00
_cell_angle_gamma 90.00
_symmetry_space_group_name_H-M 'P 1'
_symmetry_Int_Tables_number 1
_symmetry_space_group_name_Hall 'P 1'
loop_
_atom_site_label
_atom_site_fract_x
_atom_site_fract_y
_atom_site_fract_z
Be1 0.0000 0.7490 0.0463
Be2 0.0000 0.7510 0.4537
Se1 0.5000 0.7500 0.7500
Hg1 0.5000 0.2500 0.2500
```

Output
Magnetic moment = 0.00 μB/f.u.
Calculated total energy = -2.6160 eV per atom
E_form (uncorrected) = 0.1937 eV/atom

The following is a DFT calculation (PBE) of crystalline BeHgSe2 at its relaxed geometry.

Structure (CIF):
```
data_BeHgSe2
_chemical_formula_sum 'Be2 Hg2 Se4'
_cell_length_a 6.8762
_cell_length_b 5.7294
_cell_length_c 7.1196
_cell_angle_alpha 104.01
_cell_angle_beta 65.37
_cell_angle_gamma 73.06
_symmetry_space_group_name_H-M 'P 1'
_symmetry_Int_Tables_number 1
_symmetry_space_group_name_Hall 'P 1'
loop_
_atom_site_label
_atom_site_fract_x
_atom_site_fract_y
_atom_site_fract_z
Se1 0.2736 0.3395 0.8916
Se2 0.7705 0.5910 0.6432
Se3 0.7705 0.1336 0.9464
Be1 0.5541 0.4707 0.9031
Be2 0.4900 0.0026 0.9348
Hg1 0.7395 0.3778 0.3103
Se4 0.2734 0.8822 0.1948
Hg2 0.3043 0.0955 0.5277
```

Output
Magnetic moment = 0.00 μB/f.u.
Calculated total energy = -3.1331 eV per atom
E_form (uncorrected) = -0.3839 eV/atom

The following is a DFT calculation (PBE) of crystalline BeHg2Se at its relaxed geometry.

Structure (CIF):
```
data_BeHg2Se
_chemical_formula_sum 'Be1 Hg2 Se1'
_cell_length_a 6.8446
_cell_length_b 6.8446
_cell_length_c 3.8975
_cell_angle_alpha 72.96
_cell_angle_beta 72.96
_cell_angle_gamma 132.41
_symmetry_space_group_name_H-M 'P 1'
_symmetry_Int_Tables_number 1
_symmetry_space_group_name_Hall 'P 1'
loop_
_atom_site_label
_atom_site_fract_x
_atom_site_fract_y
_atom_site_fract_z
Hg1 0.5000 0.5000 0.0000
Be1 0.0000 0.5000 0.5000
Hg2 0.0000 0.0000 0.0000
Se1 0.5000 0.0000 0.5000
```

Output
Magnetic moment = 0.00 μB/f.u.
Calculated total energy = -1.6029 eV per atom
E_form (uncorrected) = 0.3507 eV/atom

The following is a DFT calculation (PBE) of crystalline BeHgSe2 at its relaxed geometry.

Structure (CIF):
```
data_BeHgSe2
_chemical_formula_sum 'Be1 Hg1 Se2'
_cell_length_a 7.1304
_cell_length_b 3.8878
_cell_length_c 3.8878
_cell_angle_alpha 124.40
_cell_angle_beta 87.66
_cell_angle_gamma 92.34
_symmetry_space_group_name_H-M 'P 1'
_symmetry_Int_Tables_number 1
_symmetry_space_group_name_Hall 'P 1'
loop_
_atom_site_label
_atom_site_fract_x
_atom_site_fract_y
_atom_site_fract_z
Hg1 0.0000 0.0000 0.0000
Be1 0.5000 0.5000 0.5000
Se1 0.6687 0.8518 0.1482
Se2 0.3313 0.1482 0.8518
```

Output
Magnetic moment = 0.00 μB/f.u.
Calculated total energy = -2.9291 eV per atom
E_form (uncorrected) = -0.1798 eV/atom

The following is a DFT calculation (PBE) of crystalline Be2HgSe at its relaxed geometry.

Structure (CIF):
```
data_Be2HgSe
_chemical_formula_sum 'Be2 Hg1 Se1'
_cell_length_a 3.4096
_cell_length_b 6.4077
_cell_length_c 3.3770
_cell_angle_alpha 90.00
_cell_angle_beta 90.00
_cell_angle_gamma 90.00
_symmetry_space_group_name_H-M 'P 1'
_symmetry_Int_Tables_number 1
_symmetry_space_group_name_Hall 'P 1'
loop_
_atom_site_label
_atom_site_fract_x
_atom_site_fract_y
_atom_site_fract_z
Hg1 0.5000 0.0000 0.5000
Be1 0.5000 0.5000 0.0000
Se1 0.0000 0.5000 0.5000
Be2 0.0000 0.0000 0.0000
```

Output
Magnetic moment = 0.00 μB/f.u.
Calculated total energy = -2.4336 eV per atom
E_form (uncorrected) = 0.3761 eV/atom

Number 4 is which compound?
Be2HgSe